P:
Compound: Ba2OsRh
Source: the Alexandria database
Functional: PBE-GGA
Structure: optimized geometry

Cell and atoms, written as POSCAR:
```
Ba2OsRh
1.0
5.3701 0.0000 0.0000
0.0000 5.3701 0.0000
0.0000 0.0000 3.7664
Ba Os Rh
2 1 1
direct
0.0000 0.5000 0.0000
0.5000 0.0000 0.0000
0.0000 0.0000 0.5000
0.5000 0.5000 0.5000
```

Output
Its symmetry is P4/mmm (123). The density is 8.68 g/cm³.

Q:
Compound: Ba2OsRh
Source: the Alexandria database
Functional: PBE-GGA
Structure: optimized geometry

Cell and atoms, written as POSCAR:
```
Ba2OsRh
1.0
7.2333 0.0000 0.0000
0.0000 8.7002 0.0000
0.0000 0.0000 3.3964
Ba Os Rh
4 2 2
direct
0.2500 0.2500 0.0000
0.2500 0.7500 0.0000
0.7500 0.2500 0.0000
0.7500 0.7500 0.0000
0.0000 0.0000 0.5000
0.5000 0.5000 0.5000
0.0000 0.5000 0.5000
0.5000 0.0000 0.5000
```

Output
Its symmetry is Cmmm (65). The density is 8.82 g/cm³.

Stability ranking, top entry: Q; the second entry is 10 meV/atom less favorable.

P:
Compound: Ba2OsRh
Source: the Alexandria database
Functional: PBE-GGA
Structure: optimized geometry

Cell and atoms, written as POSCAR:
```
Ba2OsRh
1.0
7.4341 0.0000 0.0000
0.0000 7.4341 0.0000
0.0000 0.0000 7.4341
Ba Os Rh
8 4 4
direct
0.0000 0.0000 0.0000
0.0000 0.5000 0.5000
0.2500 0.2500 0.2500
0.2500 0.7500 0.7500
0.5000 0.0000 0.5000
0.5000 0.5000 0.0000
0.7500 0.2500 0.7500
0.7500 0.7500 0.2500
0.0000 0.0000 0.5000
0.0000 0.5000 0.0000
0.5000 0.0000 0.0000
0.5000 0.5000 0.5000
0.2500 0.2500 0.7500
0.2500 0.7500 0.2500
0.7500 0.2500 0.2500
0.7500 0.7500 0.7500
```

Output
Its symmetry is F-43m (216). The density is 9.18 g/cm³.

Q:
Compound: Ba2OsRh
Source: the Alexandria database
Functional: PBE-GGA
Structure: optimized geometry

Cell and atoms, written as POSCAR:
```
Ba2OsRh
1.0
7.7747 0.0000 0.0000
0.0000 3.3045 0.0000
-1.0260 0.0000 8.7613
Ba Os Rh
4 2 2
direct
0.2496 0.0000 0.2408
0.2504 0.5000 0.7592
0.7504 0.0000 0.7592
0.7496 0.5000 0.2408
0.0000 0.0000 0.5000
0.5000 0.5000 0.5000
0.0000 0.5000 0.0000
0.5000 0.0000 0.0000
```

Output
Its symmetry is C2/m (12). The density is 8.38 g/cm³.

R:
Compound: Ba2OsRh
Source: the Alexandria database
Functional: PBE-GGA
Structure: optimized geometry

Cell and atoms, written as POSCAR:
```
Ba2OsRh
1.0
3.4370 0.0000 0.0000
0.0000 4.1644 0.0000
0.0000 0.0000 7.5055
Ba Os Rh
2 1 1
direct
0.0000 0.0000 0.2453
0.0000 0.0000 0.7547
0.5000 0.5000 0.5000
0.5000 0.5000 0.0000
```

Output
Its symmetry is Pmmm (47). The density is 8.78 g/cm³.

S:
Compound: Ba2OsRh
Source: the Alexandria database
Functional: PBE-GGA
Structure: optimized geometry

Cell and atoms, written as POSCAR:
```
Ba2OsRh
1.0
8.4646 0.0000 0.0000
0.0000 8.4646 0.0000
0.0000 0.0000 6.3079
Ba Os Rh
8 4 4
direct
0.2293 0.7500 0.1250
0.2500 0.2293 0.8750
0.2500 0.2707 0.3750
0.2707 0.7500 0.6250
0.7293 0.2500 0.6250
0.7500 0.7293 0.3750
0.7500 0.7707 0.8750
0.7707 0.2500 0.1250
0.0000 0.0000 0.5000
0.0000 0.5000 0.7500
0.5000 0.0000 0.2500
0.5000 0.5000 0.0000
0.0000 0.0000 0.0000
0.0000 0.5000 0.2500
0.5000 0.0000 0.7500
0.5000 0.5000 0.5000
```

Output
Its symmetry is I-42d (122). The density is 8.34 g/cm³.

Stability ranking, top entry: R; the second entry is 86 meV/atom less favorable.

P:
Compound: Ba2OsRh
Source: the Alexandria database
Functional: PBE-GGA
Structure: optimized geometry

Cell and atoms, written as POSCAR:
```
Ba2OsRh
1.0
4.4883 0.0000 0.0000
0.0000 4.4883 0.0000
0.0000 0.0000 10.4179
Ba Os Rh
4 2 2
direct
0.0000 0.0000 0.0000
0.0000 0.5000 0.2500
0.5000 0.0000 0.7500
0.5000 0.5000 0.5000
0.0000 0.5000 0.7500
0.5000 0.0000 0.2500
0.0000 0.0000 0.5000
0.5000 0.5000 0.0000
```

Output
Its symmetry is I-4m2 (119). The density is 8.98 g/cm³.

Q:
Compound: Ba2OsRh
Source: the Alexandria database
Functional: PBE-GGA
Structure: optimized geometry

Cell and atoms, written as POSCAR:
```
Ba2OsRh
1.0
4.3674 0.0000 0.0000
0.0000 4.7802 0.0000
0.0000 0.0000 13.7147
Ba Os Rh
4 2 2
direct
0.0000 0.0000 0.0000
0.0000 0.5000 0.2490
0.5000 0.0000 0.7490
0.5000 0.5000 0.5000
0.0000 0.5000 0.8429
0.5000 0.0000 0.3429
0.0000 0.0000 0.4122
0.5000 0.5000 0.9122
```

Output
Its symmetry is Imm2 (44). The density is 6.59 g/cm³.

Stability ranking, top entry: Q; the second entry is 622 meV/atom less favorable.

P:
Compound: Ba2OsRu
Source: the Alexandria database
Functional: PBE-GGA
Structure: optimized geometry

Cell and atoms, written as POSCAR:
```
Ba2OsRu
1.0
3.2006 0.0000 0.0000
0.0000 4.5383 0.0000
-0.0129 0.0000 7.2958
Ba Os Ru
2 1 1
direct
0.0009 0.0000 0.2510
0.9991 0.0000 0.7490
0.5000 0.5000 0.5000
0.5000 0.5000 0.0000
```

Output
Its symmetry is P2/m (10). The density is 8.87 g/cm³.

Q:
Compound: Ba2OsRu
Source: the Alexandria database
Functional: PBE-GGA
Structure: optimized geometry

Cell and atoms, written as POSCAR:
```
Ba2OsRu
1.0
3.1971 0.0000 0.0000
0.0000 3.8239 0.0000
0.0000 0.0000 9.6894
Ba Os Ru
2 1 1
direct
0.0000 0.0000 0.0000
0.5000 0.5000 0.4286
0.0000 0.0000 0.6747
0.5000 0.5000 0.7527
```

Output
Its symmetry is Pmm2 (25). The density is 7.93 g/cm³.

R:
Compound: Ba2OsRu
Source: the Alexandria database
Functional: PBE-GGA
Structure: optimized geometry

Cell and atoms, written as POSCAR:
```
Ba2OsRu
1.0
4.8177 0.0000 0.0000
0.0000 4.8177 0.0000
0.0000 0.0000 9.0897
Ba Os Ru
4 2 2
direct
0.0000 0.5000 0.2500
0.0000 0.5000 0.7500
0.5000 0.0000 0.2500
0.5000 0.0000 0.7500
0.0000 0.0000 0.0000
0.5000 0.5000 0.5000
0.0000 0.0000 0.5000
0.5000 0.5000 0.0000
```

Output
Its symmetry is I4/mmm (139). The density is 8.91 g/cm³.

Stability ranking, top entry: Q; the second entry is 651 meV/atom less favorable.